! NdTmSn PBE optimized geometry; values from VASP
&SYSTEM
  ibrav = 0, nat = 3, ntyp = 3
/
ATOMIC_SPECIES
Tm 168.93 Tm.upf
Nd 144.24 Nd.upf
Sn 118.71 Sn.upf
ATOMIC_POSITIONS angstrom
Tm 1.675 1.675 4.521
Nd 1.675 1.675 7.923
Sn 0.000 0.000 2.366
CELL_PARAMETERS angstrom
3.350 0.000 0.000
0.000 3.350 0.000
-1.675 -1.675 8.712
! Calculated volume ... 97.8 Å³ per cell
! Electronic total energy ... -12.9 eV/cell
! Crystal system ... tetragonal